Record 1
The following is a PBE-GGA calculation of a relaxed structure of CrSi2Rh, from Alexandria.

It has space group Pmm2 (No. 25), with a = 2.787 Å, b = 4.428 Å, c = 4.184 Å, α = 90.00°, β = 90.00° and γ = 90.00°. The asymmetric unit holds Cr at (0.000, 0.000, 0.000), Si at (0.000, 0.500, 0.292), Si at (0.500, 0.000, 0.484) and Rh at (0.500, 0.500, 0.783).

The calculation puts the total energy at -7.284 eV/atom. For the density of states at the Fermi level, the calculation gives 2.02 states/eV/f.u. Its uncorrected formation energy is -0.329 eV per atom.

=====

Record 2
The following is a PBE-GGA calculation of a relaxed structure of CrSi2Rh, from Alexandria.

It has space group R3m (No. 160, hexagonal axes), with a = 2.8196 Å, b = 2.8196 Å, c = 23.3136 Å, α = 90.00°, β = 90.00° and γ = 120.00°. The asymmetric unit holds Cr at (0.0000, 0.0000, 0.0000), Si at (0.0000, 0.0000, 0.2560), Si at (0.0000, 0.0000, 0.5026) and Rh at (0.0000, 0.0000, 0.7587).

The calculation puts the total energy at -7.027 eV/atom. For the density of states at the Fermi level, the calculation gives 2.26 states/eV/f.u. Its uncorrected formation energy is -0.071 eV per atom.

=====

Record 3
The following is a PBE-GGA calculation of a relaxed structure of CrSi2Rh, from Alexandria.

It has space group P4mm (No. 99), with a = 2.664 Å, b = 2.664 Å, c = 7.456 Å, α = 90.00°, β = 90.00° and γ = 90.00°. The asymmetric unit holds Cr at (0.000, 0.000, 0.000), Si at (0.000, 0.000, 0.477), Si at (0.500, 0.500, 0.771) and Rh at (0.500, 0.500, 0.239).

The calculation puts the total energy at -7.008 eV/atom. For the density of states at the Fermi level, the calculation gives 2.35 states/eV/f.u. Its uncorrected formation energy is -0.053 eV per atom.

=====

Record 4
The following is a PBE-GGA calculation of a relaxed structure of CrSiRh2, from Alexandria.

It has space group Cm (No. 8), with a = 8.955 Å, b = 2.849 Å, c = 4.378 Å, α = 90.00°, β = 106.61° and γ = 90.00°. The asymmetric unit holds Cr at (0.000, 0.000, 0.000), Si at (0.261, 0.000, 0.652), Rh at (0.028, 0.500, 0.521) and Rh at (0.250, 0.500, 0.152).

The calculation puts the total energy at -7.830 eV/atom. For the density of states at the Fermi level, the calculation gives 3.19 states/eV/f.u. Its uncorrected formation energy is -0.392 eV per atom.

=====

Record 5
The following is a PBE-GGA calculation of a relaxed structure of CrSi2Rh, from Alexandria.

It has space group Fm-3m (No. 225), with a = 5.831 Å, b = 5.831 Å, c = 5.831 Å, α = 90.00°, β = 90.00° and γ = 90.00°. The asymmetric unit holds Cr at (0.000, 0.000, 0.000), Si at (0.250, 0.250, 0.250) and Rh at (0.000, 0.000, 0.500).

The calculation puts the total energy at -7.334 eV/atom. For the density of states at the Fermi level, the calculation gives 2.40 states/eV/f.u. Its uncorrected formation energy is -0.379 eV per atom.

=====

Record 6
The following is a PBE-GGA calculation of a relaxed structure of CrSiRh2, from Alexandria.

It has space group Pm (No. 6), with a = 2.742 Å, b = 3.857 Å, c = 5.197 Å, α = 90.00°, β = 104.77° and γ = 90.00°. The asymmetric unit holds Cr at (0.000, 0.000, 0.000), Si at (0.834, 0.500, 0.690), Rh at (0.264, 0.000, 0.531) and Rh at (0.599, 0.500, 0.196).

The calculation puts the total energy at -7.737 eV/atom. For the density of states at the Fermi level, the calculation gives 3.30 states/eV/f.u. Its uncorrected formation energy is -0.300 eV per atom.

=====

Record 7
The following is a PBE-GGA calculation of a relaxed structure of CrSi2Rh, from Alexandria.

It has space group I-42d (No. 122), with a = 6.332 Å, b = 6.332 Å, c = 5.757 Å, α = 90.00°, β = 90.00° and γ = 90.00°. The asymmetric unit holds Cr at (0.000, 0.000, 0.000), Si at (0.246, 0.750, 0.625) and Rh at (0.000, 0.000, 0.500).

The calculation puts the total energy at -6.786 eV/atom. For the density of states at the Fermi level, the calculation gives 6.35 states/eV/f.u. Its uncorrected formation energy is 0.169 eV per atom.

=====

Record 8
The following is a PBE-GGA calculation of a relaxed structure of CrSiRh, from Alexandria.

It has space group P2_1/m (No. 11), with a = 3.521 Å, b = 3.477 Å, c = 6.411 Å, α = 90.00°, β = 90.47° and γ = 90.00°. The asymmetric unit holds Cr at (0.205, 0.250, 0.002), Si at (0.266, 0.750, 0.723) and Rh at (0.255, 0.750, 0.352).

The calculation puts the total energy at -7.888 eV/atom. For the density of states at the Fermi level, the calculation gives 2.36 states/eV/f.u. Its uncorrected formation energy is -0.422 eV per atom.